## Dy2ErTm4Ni2Te2 (GGA-PBE)

Data for an optimized crystal structure of Dy2ErTm4Ni2Te2.

POSCAR file:
```
Dy2ErTm4Ni2Te2
1.0
-1.9116 7.7305 4.7372
1.9116 -7.7305 4.7372
1.9116 7.7305 -4.7372
Dy Er Tm Ni Te
2 1 4 2 2
Direct
0.1854 0.0000 0.1854
0.8146 0.0000 0.8146
0.1208 0.6208 0.5000
0.2047 0.3511 0.8536
0.4975 0.3511 0.1464
0.5706 0.2038 0.3668
0.8369 0.2038 0.6332
0.4304 0.6929 0.7376
0.9553 0.6929 0.2624
0.4582 0.9582 0.5000
0.8558 0.8558 0.0000
```

Computed properties:
Its space group is Imm2. As for the total energy: -5.13 eV/atom. The value obtained for the energy relative to the lowest polymorph listed for this composition is 10 meV per atom. For the calculated volume, the calculation gives 280.0 Å³ per cell. As for the total magnetization: 0.0 μB/f.u.



## CsPrCdS3 (GGA-PBE)

Data for an optimized crystal structure of CsPrCdS3.

POSCAR file:
```
CsPrCdS3
1.0
11.7845 0.0000 0.0000
0.0000 4.4125 0.0000
0.0000 0.0000 12.9865
Cs Pr Cd S
4 4 4 12
Direct
0.1563 0.2500 0.0037
0.3437 0.7500 0.5037
0.6563 0.2500 0.4963
0.8437 0.7500 0.9963
0.0309 0.2500 0.3403
0.4691 0.7500 0.8403
0.5309 0.2500 0.1597
0.9691 0.7500 0.6597
0.2371 0.2500 0.7140
0.2629 0.7500 0.2140
0.7371 0.2500 0.7860
0.7629 0.7500 0.2860
0.0464 0.7500 0.1965
0.1001 0.2500 0.5607
0.2201 0.7500 0.8119
0.2799 0.2500 0.3119
0.3999 0.7500 0.0607
0.4536 0.2500 0.6965
0.5464 0.7500 0.3035
0.6001 0.2500 0.9393
0.7201 0.7500 0.6881
0.7799 0.2500 0.1881
0.8999 0.7500 0.4393
0.9536 0.2500 0.8035
```

Computed properties:
Its space group is Pnma. As for the total energy: -4.51 eV/atom. The value obtained for the energy relative to the lowest polymorph listed for this composition is 58 meV per atom. For the calculated volume, the calculation gives 675.3 Å³ per cell. As for the total magnetization: 0.0 μB/f.u.



## LiSnW (GGA-PBE)

Data for an optimized crystal structure of LiSnW.

POSCAR file:
```
LiSnW
1.0
0.0000 3.1787 3.1787
3.1787 0.0000 3.1787
3.1787 3.1787 0.0000
Li Sn W
1 1 1
Direct
0.0000 0.0000 0.0000
0.2500 0.2500 0.2500
0.5000 0.5000 0.5000
```

Computed properties:
Its space group is F-43m. As for the total energy: -5.40 eV/atom. The value obtained for the energy relative to the lowest polymorph listed for this composition is 0 meV per atom. For the calculated volume, the calculation gives 64.2 Å³ per cell. As for the total magnetization: 2.2 μB/f.u.



## Pa (GGA-PBE)

Data for an optimized crystal structure of Pa.

POSCAR file:
```
Pa
1.0
2.8783 0.0000 0.0000
0.0000 2.8783 0.0000
0.0000 0.0000 2.8783
Pa
1
Direct
0.0000 0.0000 0.0000
```

Computed properties:
Its formation energy is 0.623 eV/atom. Its space group is Pm-3m. As for the total energy: -8.87 eV/atom. The value obtained for the energy relative to the lowest polymorph listed for this composition is 623 meV per atom. For the calculated volume, the calculation gives 23.8 Å³ per cell. As for the total magnetization: 0.0 μB/f.u.



## Zr2Mo (GGA-PBE)

Data for an optimized crystal structure of Zr2Mo.

POSCAR file:
```
Zr2Mo
1.0
5.6525 0.0000 0.0000
-2.8263 4.8952 0.0000
0.0000 0.0000 8.7473
Zr Mo
8 4
Direct
0.0000 0.0000 0.0000
0.0000 0.0000 0.5000
0.1756 0.3511 0.2500
0.1756 0.8244 0.2500
0.3511 0.1756 0.7500
0.6489 0.8244 0.2500
0.8244 0.1756 0.7500
0.8244 0.6489 0.7500
0.3333 0.6667 0.5691
0.3333 0.6667 0.9309
0.6667 0.3333 0.0691
0.6667 0.3333 0.4309
```

Computed properties:
Its formation energy is 0.632 eV/atom. Its space group is P6_3/mmc. As for the total energy: -8.68 eV/atom. The value obtained for the energy relative to the lowest polymorph listed for this composition is 616 meV per atom. For the calculated volume, the calculation gives 242.0 Å³ per cell. As for the total magnetization: 0.0 μB/f.u.



## MgCuNiGe (GGA-PBE)

Data for an optimized crystal structure of MgCuNiGe.

POSCAR file:
```
MgCuNiGe
1.0
0.0000 3.0464 3.0464
3.0464 0.0000 3.0464
3.0464 3.0464 0.0000
Mg Cu Ni Ge
1 1 1 1
Direct
0.0000 0.0000 0.0000
0.5000 0.5000 0.5000
0.2500 0.2500 0.2500
0.7500 0.7500 0.7500
```

Computed properties:
Its space group is F-43m. As for the total energy: -3.86 eV/atom. The value obtained for the energy relative to the lowest polymorph listed for this composition is 179 meV per atom. For the calculated volume, the calculation gives 56.5 Å³ per cell. As for the total magnetization: 0.0 μB/f.u.



Among the records above, which one has the lowest calculated volume?
Pa



The lowest energy relative to the lowest polymorph listed for this composition belongs to which entry?
LiSnW



Among the records above, which one has the highest calculated volume?
CsPrCdS3



Number 6 is which compound?
MgCuNiGe